(1)
Entry from Alexandria via LeMat-Bulk: EuLuGa2 after structural relaxation (PBE-GGA).

Properties
For the formation energy, the calculation gives -0.5249 eV per atom. Its density is 8.1 Mg/m³. For the size of the total moment, the calculation gives 1.796 μB per atom. The excess energy over the best structure of this formula in the dataset is 0 meV/atom. As for the raw total energy: -5.737 eV/atom.

Cell lengths 3.6322, 3.6322, 7.2199 Å; angles 90.00, 90.00, 90.00 degrees
Closest atoms and distances in Å follow each position.
Atoms (fractional coordinates):
Ga: 0.0000 0.0000 0.2205  4 Lu 3.02, 1 Ga 3.18, 4 Eu 3.27
Ga: 0.0000 0.0000 0.7795  4 Lu 3.02, 1 Ga 3.18, 4 Eu 3.27
Eu: 0.5000 0.5000 0.5000  8 Ga 3.27, 2 Lu 3.61, 4 Eu 3.63
Lu: 0.5000 0.5000 0.0000  8 Ga 3.02

(2)
Entry from Alexandria via LeMat-Bulk: LuCuPt after structural relaxation (PBE-GGA).

Properties
For the formation energy, the calculation gives -0.7575 eV per atom. Its density is 13.5 Mg/m³. For the size of the total moment, the calculation gives 0.000 μB per atom. The excess energy over the best structure of this formula in the dataset is 24 meV/atom. As for the raw total energy: -5.644 eV/atom.

Cell lengths 3.5312, 3.5312, 4.9554 Å; angles 110.87, 110.87, 90.00 degrees
Closest atoms and distances in Å follow each position.
Atoms (fractional coordinates):
Cu: 0.2868 0.2868 0.5736  5 Lu 2.79-2.91, 5 Pt 2.86-2.88
Lu: 0.6123 0.6123 0.2246  5 Cu 2.79-2.91, 5 Pt 2.85-2.90
Pt: 0.9509 0.9509 0.9018  5 Lu 2.85-2.90, 5 Cu 2.86-2.88

(3)
Entry from Alexandria via LeMat-Bulk: Ba4Te3Br2 after structural relaxation (PBE-GGA).

Properties
Its density is 4.2 Mg/m³. For the size of the total moment, the calculation gives 0.000 μB per atom. As for the raw total energy: -4.157 eV/atom.

Cell lengths 4.9685, 8.7317, 10.7204 Å; angles 80.04, 76.60, 73.47 degrees
Closest atoms and distances in Å follow each position.
Atoms (fractional coordinates):
Br: 0.6333 0.1098 0.6236  4 Ba 3.34-3.36
Br: 0.3667 0.8902 0.3764  4 Ba 3.34-3.36
Ba: 0.4062 0.2938 0.8938  1 Br 3.36, 5 Te 3.49-3.58
Ba: 0.5938 0.7062 0.1062  1 Br 3.36, 5 Te 3.49-3.58
Ba: 0.7724 0.1540 0.3012  3 Br 3.34-3.36, 3 Te 3.44-3.53
Ba: 0.2276 0.8460 0.6988  3 Br 3.34-3.36, 3 Te 3.44-3.53
Te: 0.8123 0.5764 0.7990  5 Ba 3.44-3.50
Te: 0.1877 0.4236 0.2010  5 Ba 3.44-3.50
Te: 0.0000 0.0000 0.0000  6 Ba 3.53-3.58